Record 1
KAl4Cl after structural relaxation, computed with PBE.

Results
density = 2.13 g/cm3
energy = -17.060 eV/cell
space group = F-43m

Geometry as extended XYZ:
```
6
Lattice="0.000 4.144 4.144 4.144 0.000 4.144 4.144 4.144 0.000" Properties=species:S:1:pos:R:3 pbc="T T T"
K 0.000 0.000 0.000
Al 5.189 3.099 3.099
Al 3.099 5.189 3.099
Al 3.099 3.099 5.189
Al 5.189 5.189 5.189
Cl 2.072 2.072 2.072
```

---

Record 2
TbTa2N4 after structural relaxation, computed with PBE.

Results
density = 11.49 g/cm3
energy = -141.999 eV/cell
space group = Cmcm

Geometry as extended XYZ:
```
14
Lattice="1.569 -5.114 0.000 1.569 5.114 0.000 0.000 0.000 10.394" Properties=species:S:1:pos:R:3 pbc="T T T"
Tb 1.569 3.921 7.796
Tb 1.569 -3.921 2.599
Ta 1.569 1.320 5.900
Ta 1.569 1.320 9.691
Ta 1.569 -1.320 0.703
Ta 1.569 -1.320 4.494
N 0.000 0.000 0.000
N 0.000 0.000 5.197
N 1.569 2.375 1.166
N 1.569 2.375 4.031
N 1.569 0.591 7.796
N 1.569 -0.591 2.599
N 1.569 -2.375 6.363
N 1.569 -2.375 9.228
```

---

Record 3
ThVSi2 after structural relaxation, computed with PBE.

Results
density = 7.25 g/cm3
energy above the lowest structure with this stoichiometry = 169 meV per atom
space group = R-3m

Geometry as extended XYZ:
```
12
Lattice="4.230 0.000 0.000 -2.115 3.663 0.000 0.000 0.000 15.046" Properties=species:S:1:pos:R:3 pbc="T T T"
Th 0.000 0.000 0.000
Th 0.000 2.442 10.031
Th 2.115 1.221 5.015
V 0.000 0.000 7.523
V 0.000 2.442 2.508
V 2.115 1.221 12.538
Si 0.000 0.000 3.218
Si 0.000 0.000 11.828
Si 0.000 2.442 6.812
Si 0.000 2.442 13.249
Si 2.115 1.221 1.797
Si 2.115 1.221 8.233
```

---

Record 4
Cu7Pt2Au2 after structural relaxation, computed with PBE.

Results
density = 12.96 g/cm3
energy above the lowest structure with this stoichiometry = 35 meV per atom
space group = C2/m
energy of formation from the pure elements = 29 kJ/mol of formula units

Geometry as extended XYZ:
```
11
Lattice="4.269 -4.333 0.000 4.269 4.333 0.000 -1.953 0.000 4.255" Properties=species:S:1:pos:R:3 pbc="T T T"
Cu 0.000 0.000 0.000
Cu 1.210 2.244 3.654
Cu 5.376 2.244 0.601
Cu 3.126 0.000 0.782
Cu 3.459 0.000 3.474
Cu 1.210 -2.244 3.654
Cu 5.376 -2.244 0.601
Pt 3.293 2.283 2.128
Pt 3.293 -2.283 2.128
Au 0.967 0.000 2.384
Au 5.618 0.000 1.872
```

---

Record 5
TiAs2PtBr after structural relaxation, computed with PBE.

Results
density = 6.77 g/cm3
energy above the lowest structure with this stoichiometry = 0 meV per atom
space group = P4/mmm

Geometry as extended XYZ:
```
5
Lattice="4.952 0.000 0.000 0.000 4.952 0.000 0.000 0.000 4.731" Properties=species:S:1:pos:R:3 pbc="T T T"
Ti 0.000 0.000 0.000
As 0.000 2.476 0.000
As 2.476 0.000 0.000
Pt 2.476 2.476 2.366
Br 0.000 0.000 2.366
```

---

Record 6
PbAuI5 after structural relaxation, computed with PBE.

Results
density = 5.63 g/cm3
energy = -32.876 eV/cell
space group = C2/c

Geometry as extended XYZ:
```
14
Lattice="6.956 -4.409 0.000 6.956 4.409 0.000 -0.672 0.000 9.996" Properties=species:S:1:pos:R:3 pbc="T T T"
Pb 6.452 3.785 7.497
Pb 6.788 -3.785 2.499
Au 3.478 2.204 0.000
Au 3.142 -2.204 4.998
I 1.881 0.185 5.253
I 2.217 -0.185 0.255
I 4.636 1.042 8.419
I 6.788 1.981 2.499
I 4.972 -1.042 3.421
I 8.268 1.042 6.575
I 6.452 -1.981 7.497
I 8.604 -1.042 1.577
I 11.023 0.185 9.741
I 11.358 -0.185 4.743
```